Crystalline CaP at its relaxed geometry, computed with PBE-GGA.

energy	-50.0	eV/cell
symmetry	No. 166
DFT formation energy	-0.46	eV/atom

```
CaP
1.0
-1.0236 -3.9183 0.9402
3.8363 1.3934 0.7914
-6.2596 6.2677 19.3062
P Ca
6 6
Direct
0.0000 0.0000 0.3326
0.0000 0.0000 0.6674
0.3333 0.6667 0.6661
0.3333 0.6667 0.0006
0.6667 0.3333 0.9994
0.6667 0.3333 0.3339
0.0000 0.0000 0.0869
0.0000 0.0000 0.9131
0.3333 0.6667 0.4201
0.3333 0.6667 0.2465
0.6667 0.3333 0.7535
0.6667 0.3333 0.5799
```

***

Crystalline La2TmCdO at its relaxed geometry, computed with PBE-GGA.

energy	-26.7	eV/cell
symmetry	No. 123
formation energy without anion corrections	-1.29	eV per atom

```
La2TmCdO
1.0
4.6201 0.0000 0.0000
0.0000 5.1727 0.0000
0.0000 0.0000 5.1727
La Tm Cd O
2 1 1 1
Direct
0.0000 0.0000 0.5000
0.0000 0.5000 0.0000
0.5000 0.0000 0.0000
0.5000 0.5000 0.5000
0.0000 0.0000 0.0000
```

***

Crystalline NbRhS2Cl at its relaxed geometry, computed with PBE-GGA.

energy	-25.3	eV/cell
symmetry	No. 123
formation energy without anion corrections	0.44	eV per atom

```
NbRhS2Cl
1.0
-4.0224 0.7544 -2.2318
-2.3502 -1.5914 3.6978
-0.1598 4.2177 1.7136
Nb Rh S Cl
1 1 2 1
Direct
0.5000 0.5000 0.5000
0.0000 0.0000 0.0000
0.0000 0.5000 0.0000
0.5000 0.0000 0.0000
0.0000 0.0000 0.5000
```

***

Crystalline CaMg at its relaxed geometry, computed with PBE-GGA.

energy	-5.1	eV/cell
symmetry	No. 194
DFT formation energy	0.53	eV/atom

```
CaMg
1.0
-2.0342 -2.0674 4.8965
-2.9596 -0.6607 -4.8158
3.1062 -5.7193 -1.1243
Ca Mg
2 2
Direct
0.3333 0.6667 0.7500
0.6667 0.3333 0.2500
0.3333 0.6667 0.2500
0.6667 0.3333 0.7500
```

***

Crystalline La6Mg23C at its relaxed geometry, computed with PBE-GGA.

energy	-79.0	eV/cell
symmetry	No. 225
DFT formation energy	-0.12	eV/atom

```
La6Mg23C
1.0
10.2850 0.0000 0.0000
5.1425 8.9070 0.0000
5.1425 2.9690 8.3976
La Mg C
6 23 1
Direct
0.8167 0.8167 0.1833
0.1833 0.8167 0.1833
0.8167 0.1833 0.1833
0.1833 0.1833 0.8167
0.8167 0.1833 0.8167
0.1833 0.8167 0.8167
0.8277 0.8277 0.5169
0.8277 0.5169 0.8277
0.5169 0.8277 0.8277
0.8277 0.8277 0.8277
0.1723 0.1723 0.4831
0.1723 0.4831 0.1723
0.4831 0.1723 0.1723
0.1723 0.1723 0.1723
0.6207 0.6207 0.1380
0.6207 0.1380 0.6207
0.1380 0.6207 0.6207
0.6207 0.6207 0.6207
0.3793 0.3793 0.8620
0.3793 0.8620 0.3793
0.8620 0.3793 0.3793
0.3793 0.3793 0.3793
0.0000 0.0000 0.5000
0.5000 0.0000 0.5000
0.0000 0.5000 0.5000
0.5000 0.5000 0.0000
0.0000 0.5000 0.0000
0.5000 0.0000 0.0000
0.5000 0.5000 0.5000
0.0000 0.0000 0.0000
```

***

Crystalline Hf2MgO at its relaxed geometry, computed with PBE-GGA.

energy	-60.1	eV/cell
symmetry	No. 122
formation energy without anion corrections	-0.90	eV per atom

```
Hf2MgO
1.0
-5.5515 -2.3785 2.7431
-0.4345 -4.5404 -4.8162
-1.0199 -5.7642 0.9582
Mg Hf O
2 4 2
Direct
0.0000 0.0000 0.0000
0.7500 0.2500 0.5000
0.4999 0.1250 0.2500
0.2501 0.6250 0.2500
0.3750 0.5001 0.7500
0.8750 0.7499 0.7500
0.5000 0.5000 0.0000
0.2500 0.7500 0.5000
```

***

Crystalline Zr3Zn2Tc at its relaxed geometry, computed with PBE-GGA.

energy	-40.6	eV/cell
symmetry	No. 123
DFT formation energy	-0.35	eV/atom

```
Zr3Zn2Tc
1.0
-2.4756 0.2014 -2.2647
-2.2081 -1.0111 2.3238
-1.5817 9.3361 2.5593
Zr Zn Tc
3 2 1
Direct
0.0000 0.0000 0.0000
0.0000 0.0000 0.6600
0.0000 0.0000 0.3400
0.5000 0.5000 0.8312
0.5000 0.5000 0.1688
0.5000 0.5000 0.5000
```

***

Crystalline NpTcB at its relaxed geometry, computed with PBE-GGA.

energy	-30.0	eV/cell
symmetry	No. 107
DFT formation energy	0.01	eV/atom

```
NpTcB
1.0
3.0316 0.0000 0.0000
0.0000 3.0316 0.0000
-1.5158 -1.5158 4.7500
Np B Tc
1 1 1
Direct
0.0114 0.0114 0.0229
0.7073 0.7073 0.4145
0.2813 0.2813 0.5626
```

***

Crystalline Pu2SnCl at its relaxed geometry, computed with PBE-GGA.

energy	-37.0	eV/cell
symmetry	No. 166
formation energy without anion corrections	-0.62	eV per atom

```
Pu2SnCl
1.0
-3.8300 -0.8676 -1.9551
-0.0707 -2.0977 -3.8521
-1.5955 -6.6724 1.1650
Cl Sn Pu
1 1 2
Direct
0.0000 0.0000 0.0000
0.5000 0.5000 0.5000
0.2622 0.2622 0.2134
0.7378 0.7378 0.7866
```

***

Crystalline BTeMoN2 at its relaxed geometry, computed with PBE-GGA.

energy	-31.8	eV/cell
symmetry	No. 123
formation energy without anion corrections	1.10	eV per atom

```
BTeMoN2
1.0
3.8442 0.0000 0.0000
0.0000 3.8442 0.0000
0.0000 0.0000 5.7245
Mo Te B N
1 1 1 2
Direct
0.0000 0.0000 0.0000
0.0000 0.0000 0.5000
0.5000 0.5000 0.5000
0.0000 0.5000 0.0000
0.5000 0.0000 0.0000
```

***

Crystalline Li2MgH4 at its relaxed geometry, computed with PBE-GGA.

energy	-42.0	eV/cell
symmetry	No. 55

```
Li2MgH4
1.0
2.9039 0.0000 0.0000
0.0000 4.8594 0.0000
0.0000 0.0000 9.2047
H Li Mg
8 4 2
Direct
0.5000 0.2090 0.0864
0.5000 0.7910 0.9136
0.5000 0.2910 0.5864
0.5000 0.7090 0.4136
0.0000 0.2191 0.8216
0.0000 0.7809 0.1784
0.0000 0.2809 0.3216
0.0000 0.7191 0.6784
0.5000 0.4826 0.7901
0.5000 0.5174 0.2099
0.5000 0.0174 0.2901
0.5000 0.9826 0.7099
0.0000 0.0000 0.0000
0.0000 0.5000 0.5000
```

***

Crystalline CuSi2Ru at its relaxed geometry, computed with PBE-GGA.

energy	-23.8	eV/cell
symmetry	No. 65
formation energy without anion corrections	0.09	eV per atom

```
CuSi2Ru
1.0
-1.8358 1.5864 1.4489
0.3485 -2.7308 0.6385
5.7992 1.9570 5.2049
Cu Ru Si
1 1 2
Direct
0.5000 0.5000 0.2500
0.5000 0.5000 0.7500
0.0000 0.0000 0.9944
0.0000 0.0000 0.5056
```

***

Crystalline PmPr6Dy3Y2 at its relaxed geometry, computed with PBE-GGA.

energy	-60.0	eV/cell
symmetry	No. 12
DFT formation energy	0.01	eV/atom

```
PmPr6Dy3Y2
1.0
-0.2720 -3.9286 -4.9595
5.6098 2.0072 2.1461
-1.2576 -8.5949 8.2210
Pm Pr Dy Y
1 6 3 2
Direct
0.0000 0.0000 0.0000
0.9159 0.5828 0.7482
0.7510 0.7510 0.2516
0.0841 0.4172 0.2518
0.5828 0.9159 0.7482
0.2490 0.2490 0.7484
0.4172 0.0841 0.2518
0.1667 0.8333 0.5000
0.8333 0.1667 0.5000
0.5000 0.5000 0.5000
0.3334 0.6666 0.0000
0.6666 0.3334 0.0000
```

***

Crystalline CsTe2SN at its relaxed geometry, computed with PBE-GGA.

energy	-17.6	eV/cell
symmetry	No. 123
formation energy without anion corrections	0.41	eV per atom

```
CsTe2SN
1.0
6.9631 0.0000 0.0000
0.0000 6.9631 0.0000
0.0000 0.0000 3.2868
Cs S Te N
1 1 2 1
Direct
0.5000 0.5000 0.5000
0.0000 0.0000 0.0000
0.0000 0.5000 0.0000
0.5000 0.0000 0.0000
0.0000 0.0000 0.5000
```

***

Crystalline NaCd2Pb8 at its relaxed geometry, computed with PBE-GGA.

energy	-32.2	eV/cell
symmetry	No. 12
DFT formation energy	0.06	eV/atom

```
NaCd2Pb8
1.0
5.8806 -0.2115 -0.3174
-1.2937 8.1948 -0.3628
-1.2937 -3.4910 7.4229
Na Cd Pb
1 2 8
Direct
0.5000 0.0000 0.0000
0.0000 0.3144 0.6856
0.0000 0.6856 0.3144
0.8603 0.9133 0.6732
0.8603 0.6732 0.9133
0.3244 0.6070 0.6070
0.5000 0.7615 0.2385
0.5000 0.2385 0.7615
0.6756 0.3930 0.3930
0.1397 0.3268 0.0867
0.1397 0.0867 0.3268
```

***

Crystalline Zr3TlIn2 at its relaxed geometry, computed with PBE-GGA.

energy	-34.9	eV/cell
symmetry	No. 123
DFT formation energy	-0.24	eV/atom

```
Zr3TlIn2
1.0
-1.4254 -2.6588 0.9999
2.4285 -0.5602 1.9721
-6.1799 6.9139 9.5742
Zr Tl In
3 1 2
Direct
0.0000 0.0000 0.0000
0.0000 0.0000 0.6719
0.0000 0.0000 0.3281
0.5000 0.5000 0.5000
0.5000 0.5000 0.8349
0.5000 0.5000 0.1651
```

***

Crystalline KSrCo2 at its relaxed geometry, computed with PBE-GGA.

energy	-14.7	eV/cell
symmetry	No. 6
DFT formation energy	0.58	eV/atom

```
KSrCo2
1.0
-2.3822 0.0443 -2.9766
-3.7519 -0.7991 2.9909
-2.6242 5.7376 2.1855
Co K Sr
2 1 1
Direct
0.0000 0.1833 0.0087
0.5000 0.0935 0.1879
0.0000 0.4742 0.4263
0.5000 0.7489 0.8771
```

***

Crystalline Zr2MnI2 at its relaxed geometry, computed with PBE-GGA.

energy	-26.4	eV/cell
symmetry	No. 139
formation energy without anion corrections	0.59	eV per atom

```
Zr2MnI2
1.0
-0.9817 -4.6308 -1.1468
2.2641 -1.4829 4.0495
-4.7356 -2.6944 4.5903
I Mn Zr
2 1 2
Direct
0.7500 0.2500 0.5000
0.2500 0.7500 0.5000
0.0000 0.0000 0.0000
0.3936 0.3936 0.2128
0.6064 0.6064 0.7872
```

***

Crystalline ReNi2C at its relaxed geometry, computed with PBE-GGA.

energy	-62.6	eV/cell
symmetry	No. 122
DFT formation energy	0.49	eV/atom

```
ReNi2C
1.0
-4.7249 -3.2978 2.5543
3.8821 -2.0643 4.5159
-0.9503 -0.9629 4.7751
Re C Ni
2 2 4
Direct
0.0000 0.0000 0.0000
0.7500 0.2500 0.5000
0.5000 0.5000 0.0000
0.2500 0.7500 0.5000
0.5328 0.1250 0.2500
0.2172 0.6250 0.2500
0.3750 0.4672 0.7500
0.8750 0.7828 0.7500
```

***

Crystalline Sm3TmPu2Se6 at its relaxed geometry, computed with PBE-GGA.

energy	-88.8	eV/cell
symmetry	No. 12
formation energy without anion corrections	-1.72	eV per atom

```
Sm3TmPu2Se6
1.0
4.1185 0.0000 0.0000
0.0000 8.3026 0.2849
-2.0592 -2.4038 8.6948
Sm Tm Pu Se
3 1 2 6
Direct
0.5000 0.5000 0.0000
0.8314 0.1663 0.6628
0.1686 0.8337 0.3372
0.5000 0.0000 0.0000
0.8341 0.6664 0.6682
0.1659 0.3336 0.3318
0.3375 0.9170 0.6749
0.6677 0.5813 0.3355
0.6625 0.0830 0.3251
0.9993 0.2402 0.9985
0.0007 0.7598 0.0015
0.3323 0.4187 0.6645
```